Entry 1:
ReSiTc2 | GGA-PBE | relaxed

```
data_ReSiTc2
_chemical_formula_sum 'Re2 Si2 Tc4'
_cell_length_a 3.692
_cell_length_b 3.692
_cell_length_c 8.325
_cell_angle_alpha 90.00
_cell_angle_beta 90.00
_cell_angle_gamma 90.00
_space_group_name_H-M_alt 'I -4 m 2'
_space_group_IT_number 119
_space_group_name_Hall 'I -4 -2'
loop_
_atom_site_label
_atom_site_fract_x
_atom_site_fract_y
_atom_site_fract_z
_atom_site_occupancy
Re1 0.000 0.000 0.000 1
Si1 0.000 0.500 0.750 1
Tc1 0.000 0.000 0.500 1
Tc2 0.000 0.500 0.250 1
```

Output
* raw formation energy: -0.0061 eV per atom
* size of the total moment: 0.00 μB per formula unit
* calculated volume: 14.18 A^3/atom

***

Entry 2:
ReSiTc2 | GGA-PBE | relaxed

```
data_ReSiTc2
_chemical_formula_sum 'Re1 Si1 Tc2'
_cell_length_a 4.331
_cell_length_b 4.331
_cell_length_c 3.010
_cell_angle_alpha 90.00
_cell_angle_beta 90.00
_cell_angle_gamma 90.00
_space_group_name_H-M_alt 'P 4/m m m'
_space_group_IT_number 123
_space_group_name_Hall '-P 4 2'
loop_
_atom_site_label
_atom_site_fract_x
_atom_site_fract_y
_atom_site_fract_z
_atom_site_occupancy
Re1 0.000 0.000 0.000 1
Si1 0.500 0.500 0.000 1
Tc1 0.000 0.500 0.500 1
```

Output
* raw formation energy: -0.0689 eV per atom
* size of the total moment: 0.03 μB per formula unit
* calculated volume: 14.11 A^3/atom

***

Entry 3:
ReSi2Tc | GGA-PBE | relaxed

```
data_ReSi2Tc
_chemical_formula_sum 'Re3 Si6 Tc3'
_cell_length_a 2.9014
_cell_length_b 2.9014
_cell_length_c 22.8129
_cell_angle_alpha 90.00
_cell_angle_beta 90.00
_cell_angle_gamma 120.00
_space_group_name_H-M_alt 'R 3 m'
_space_group_IT_number 160
_space_group_name_Hall 'R 3 -2"'
loop_
_atom_site_label
_atom_site_fract_x
_atom_site_fract_y
_atom_site_fract_z
_atom_site_occupancy
Re1 0.0000 0.0000 0.0000 1
Si1 0.0000 0.0000 0.2516 1
Si2 0.0000 0.0000 0.4196 1
Tc1 0.0000 0.0000 0.8380 1
```

Output
* E above lowest polymorph: 153 meV/atom
* raw formation energy: -0.2301 eV per atom
* size of the total moment: 0.00 μB per formula unit
* calculated volume: 13.86 A^3/atom

***

Entry 4:
ReSi2Tc | GGA-PBE | relaxed

```
data_ReSi2Tc
_chemical_formula_sum 'Re4 Si8 Tc4'
_cell_length_a 5.961
_cell_length_b 5.961
_cell_length_c 5.961
_cell_angle_alpha 90.00
_cell_angle_beta 90.00
_cell_angle_gamma 90.00
_space_group_name_H-M_alt 'F m -3 m'
_space_group_IT_number 225
_space_group_name_Hall '-F 4 2 3'
loop_
_atom_site_label
_atom_site_fract_x
_atom_site_fract_y
_atom_site_fract_z
_atom_site_occupancy
Re1 0.000 0.000 0.000 1
Si1 0.250 0.250 0.250 1
Tc1 0.000 0.000 0.500 1
```

Output
* E above lowest polymorph: 87 meV/atom
* raw formation energy: -0.2962 eV per atom
* size of the total moment: 0.00 μB per formula unit
* calculated volume: 13.24 A^3/atom

***

Entry 5:
ReSi2Tc | GGA-PBE | relaxed

```
data_ReSi2Tc
_chemical_formula_sum 'Re2 Si4 Tc2'
_cell_length_a 2.989
_cell_length_b 3.743
_cell_length_c 10.171
_cell_angle_alpha 90.00
_cell_angle_beta 90.00
_cell_angle_gamma 90.00
_space_group_name_H-M_alt 'I m m 2'
_space_group_IT_number 44
_space_group_name_Hall 'I 2 -2'
loop_
_atom_site_label
_atom_site_fract_x
_atom_site_fract_y
_atom_site_fract_z
_atom_site_occupancy
Re1 0.000 0.000 0.000 1
Si1 0.000 0.000 0.432 1
Si2 0.000 0.500 0.170 1
Tc1 0.000 0.500 0.738 1
```

Output
* E above lowest polymorph: 119 meV/atom
* raw formation energy: -0.2645 eV per atom
* size of the total moment: 0.00 μB per formula unit
* calculated volume: 14.23 A^3/atom

***

Entry 6:
ReSiTc2 | GGA-PBE | relaxed

```
data_ReSiTc2
_chemical_formula_sum 'Re2 Si2 Tc4'
_cell_length_a 2.958
_cell_length_b 4.620
_cell_length_c 8.407
_cell_angle_alpha 90.00
_cell_angle_beta 90.00
_cell_angle_gamma 90.00
_space_group_name_H-M_alt 'C m m 2'
_space_group_IT_number 35
_space_group_name_Hall 'C 2 -2'
loop_
_atom_site_label
_atom_site_fract_x
_atom_site_fract_y
_atom_site_fract_z
_atom_site_occupancy
Re1 0.000 0.000 0.000 1
Si1 0.000 0.500 0.239 1
Tc1 0.000 0.000 0.469 1
Tc2 0.000 0.500 0.735 1
```

Output
* raw formation energy: 0.1652 eV per atom
* size of the total moment: 0.00 μB per formula unit
* calculated volume: 14.36 A^3/atom

***

| no. | DOS at the Fermi energy (states/eV/cell) |
| --- | --- |
| 1 | 8.008 |
| 2 | 3.119 |
| 3 | 10.824 |
| 4 | 12.557 |
| 5 | 4.181 |
| 6 | 7.387 |